Entry from the Alexandria database: an optimized crystal structure of SmTm2Th4 (GGA-PBE).

a b c (Å): 3.4762 8.7984 14.7840
angles (deg): 94.96 90.06 90.25
Positions (direct):
Sm (0.2468, 0.4372, 0.1842)
Sm (0.7532, 0.5628, 0.8158)
Tm (0.2499, 0.1391, 0.3378)
Tm (0.2523, 0.2080, 0.7516)
Tm (0.7477, 0.7920, 0.2484)
Tm (0.7501, 0.8609, 0.6622)
Th (0.2470, 0.8258, 0.4613)
Th (0.2497, 0.0416, 0.1048)
Th (0.2507, 0.5145, 0.6031)
Th (0.2534, 0.6841, 0.0220)
Th (0.7466, 0.3159, 0.9780)
Th (0.7493, 0.4855, 0.3969)
Th (0.7503, 0.9584, 0.8952)
Th (0.7530, 0.1742, 0.5387)

## Properties
The value obtained for the volume is 450.48 Å³/cell. The calculation puts the magnetic moment at 0.00 μB per atom. The symmetry is No. 2. The value obtained for the uncorrected energy is -6.10 eV per atom. Its density is 10.44 g/cm3.